[1]
## SmEr2Al2 (PBE)

Data for SmEr2Al2 after structural relaxation.

Results
Total energy   -45.7 eV per cell
E_form   -303 meV per atom

Cell lengths 3.6283, 5.1784, 13.5393 Å; angles 90.00, 97.70, 90.00 degrees
Last column: nearest neighbours and their distance in Å.
Fractional coordinates of all 10 atoms:
Al (0.3600, 0.2500, 0.7188)  4 Er 3.08-3.10, 4 Sm 3.16
Al (0.4523, 0.7500, 0.9047)  6 Er 3.12-3.16, 2 Sm 3.18
Al (0.6400, 0.7500, 0.2812)  4 Er 3.08-3.10, 4 Sm 3.16
Al (0.5477, 0.2500, 0.0953)  6 Er 3.12-3.16, 2 Sm 3.18
Sm (0.1440, 0.2500, 0.2901)  6 Al 3.16-3.18, 2 Er 3.51
Sm (0.8560, 0.7500, 0.7099)  6 Al 3.16-3.18, 2 Er 3.51
Er (0.2327, 0.7500, 0.4663)  2 Al 3.08, 4 Er 3.29
Er (0.9532, 0.2500, 0.9061)  8 Al 3.10-3.16
Er (0.7673, 0.2500, 0.5337)  2 Al 3.08, 4 Er 3.29
Er (0.0468, 0.7500, 0.0939)  8 Al 3.10-3.16

=====

[2]
## Pm7Dy3Er (PBE)

Data for Pm7Dy3Er after structural relaxation.

Results
Total energy   -49.6 eV per cell
E_form   181 meV per atom

Cell lengths 8.6713, 7.1618, 7.1618 Å; angles 120.00, 90.00, 90.00 degrees
Last column: nearest neighbours and their distance in Å.
Fractional coordinates of all 11 atoms:
Pm (0.4552, 0.8326, 0.1674)  2 Dy 3.51, 7 Pm 3.54-3.63, 2 Er 3.58
Pm (0.4552, 0.8326, 0.6652)  2 Dy 3.51, 7 Pm 3.54-3.63, 2 Er 3.58
Pm (0.1119, 0.1674, 0.3349)  2 Dy 3.53, 1 Er 3.55, 8 Pm 3.56-3.63
Pm (0.1119, 0.6651, 0.8326)  2 Dy 3.53, 1 Er 3.55, 8 Pm 3.56-3.63
Pm (0.1234, 0.6667, 0.3333)  9 Pm 3.54-3.58, 3 Dy 3.62
Pm (0.4552, 0.3348, 0.1674)  2 Dy 3.51, 7 Pm 3.54-3.63, 2 Er 3.58
Pm (0.1119, 0.1674, 0.8326)  2 Dy 3.53, 1 Er 3.55, 8 Pm 3.56-3.63
Dy (0.7819, 0.0012, 0.5006)  5 Pm 3.51-3.62, 4 Dy 3.57-3.59, 1 Er 3.58
Dy (0.7819, 0.4994, 0.9988)  5 Pm 3.51-3.62, 4 Dy 3.57-3.59, 1 Er 3.58
Dy (0.7819, 0.4994, 0.5006)  5 Pm 3.51-3.62, 4 Dy 3.57-3.59, 1 Er 3.58
Er (0.4448, 0.3333, 0.6667)  9 Pm 3.55-3.58, 3 Dy 3.58